{"formula": "ZrInRh2", "functional": "PBE", "state": "optimized geometry", "lattice": [[3.885, 0.000, 0.000], [0.000, 3.885, 0.000], [0.000, 0.000, 9.181]], "species": ["Zr", "Zr", "In", "In", "Rh", "Rh", "Rh", "Rh"], "fractional_positions": [[0.000, 0.000, 0.000], [0.500, 0.500, 0.500], [0.000, 0.500, 0.250], [0.500, 0.000, 0.750], [0.000, 0.000, 0.500], [0.000, 0.500, 0.750], [0.500, 0.000, 0.250], [0.500, 0.500, 0.000]], "e_tot_ev_per_atom": -7.139, "dos_at_fermi_per_ev_fu": 1.57, "sg": "I-4m2 (119)"}